A plane-wave DFT calculation with PBE was carried out for a geometry-optimized LiBe2In structure.

POSCAR file:
```
LiBe2In
1.0
2.897 0.000 0.000
0.000 3.003 0.000
0.000 0.000 6.562
Li Be In
1 2 1
direct
0.000 0.000 0.000
0.000 0.000 0.374
0.500 0.500 0.257
0.500 0.500 0.678
```

Properties
Magnetic moment, μB/cell: 0.000
Theoretical density, g cm⁻³: 4.1
Energy of formation, eV per atom: 0.250
DOS at the Fermi energy, states/eV/f.u.: 1.04